Entry 1:
Density functional theory data (GGA-PBE) for NdTcTe after structural relaxation. Values from VASP.

* electronic total energy: -17.826 eV/cell
* total magnetization: 1.91 μB per cell

Cell and atoms, written as Quantum ESPRESSO input:
```
&SYSTEM
  ibrav = 0, nat = 3, ntyp = 3
/
ATOMIC_SPECIES
Nd 144.24 Nd.upf
Te 127.60 Te.upf
Tc 98.00 Tc.upf
ATOMIC_POSITIONS crystal
Nd 0.250 0.250 0.250
Te 0.000 0.000 0.000
Tc 0.750 0.750 0.750
CELL_PARAMETERS angstrom
3.162 -2.364 -2.803
3.231 -3.004 1.996
-0.427 -4.782 -0.631
```


Entry 2:
Density functional theory data (GGA-PBE) for NdTlTc after structural relaxation. Values from VASP.

* electronic total energy: -14.253 eV/cell
* total magnetization: 1.18 μB per cell
* energy relative to the lowest polymorph listed for this composition: 369 meV/atom

Cell and atoms, written as Quantum ESPRESSO input:
```
&SYSTEM
  ibrav = 0, nat = 3, ntyp = 3
/
ATOMIC_SPECIES
Nd 144.24 Nd.upf
Tc 98.00 Tc.upf
Tl 204.38 Tl.upf
ATOMIC_POSITIONS crystal
Nd 0.000 0.000 0.000
Tc 0.250 0.250 0.250
Tl 0.750 0.750 0.750
CELL_PARAMETERS angstrom
2.491 -4.082 -1.226
0.853 -3.484 3.393
-2.346 -4.336 -0.270
```


Entry 3:
Density functional theory data (GGA-PBE) for NdTlTc after structural relaxation. Values from VASP.

* electronic total energy: -15.359 eV/cell
* total magnetization: 0.12 μB per cell
* energy relative to the lowest polymorph listed for this composition: 0 meV/atom

Cell and atoms, written as Quantum ESPRESSO input:
```
&SYSTEM
  ibrav = 0, nat = 3, ntyp = 3
/
ATOMIC_SPECIES
Tl 204.38 Tl.upf
Nd 144.24 Nd.upf
Tc 98.00 Tc.upf
ATOMIC_POSITIONS crystal
Tl 0.000 0.000 0.000
Nd 0.250 0.250 0.250
Tc 0.750 0.750 0.750
CELL_PARAMETERS angstrom
0.000 3.420 3.420
3.420 0.000 3.420
3.420 3.420 0.000
```


Entry 4:
Density functional theory data (GGA-PBE) for NdTmTc after structural relaxation. Values from VASP.

* electronic total energy: -16.909 eV/cell
* total magnetization: 0.04 μB per cell
* energy relative to the lowest polymorph listed for this composition: 0 meV/atom
* calculated formation energy: 87 kJ/mol of atoms

Cell and atoms, written as Quantum ESPRESSO input:
```
&SYSTEM
  ibrav = 0, nat = 3, ntyp = 3
/
ATOMIC_SPECIES
Nd 144.24 Nd.upf
Tc 98.00 Tc.upf
Tm 168.93 Tm.upf
ATOMIC_POSITIONS crystal
Nd 0.250 0.250 0.250
Tc 0.750 0.750 0.750
Tm 0.000 0.000 0.000
CELL_PARAMETERS angstrom
-1.971 -2.573 3.532
-4.182 -2.233 -0.708
-0.142 -4.782 -0.309
```


Entry 5:
Density functional theory data (GGA-PBE) for NdUTc after structural relaxation. Values from VASP.

* electronic total energy: -23.615 eV/cell
* total magnetization: 0.13 μB per cell
* energy relative to the lowest polymorph listed for this composition: 0 meV/atom
* calculated formation energy: 90 kJ/mol of atoms

Cell and atoms, written as Quantum ESPRESSO input:
```
&SYSTEM
  ibrav = 0, nat = 3, ntyp = 3
/
ATOMIC_SPECIES
Nd 144.24 Nd.upf
U 238.03 U.upf
Tc 98.00 Tc.upf
ATOMIC_POSITIONS crystal
Nd 0.250 0.250 0.250
U 0.000 0.000 0.000
Tc 0.750 0.750 0.750
CELL_PARAMETERS angstrom
2.048 -3.582 2.119
-1.154 -1.084 4.360
-2.410 -3.867 0.868
```


Entry 6:
Density functional theory data (GGA-PBE) for NdZnTc after structural relaxation. Values from VASP.

* electronic total energy: -14.932 eV/cell
* total magnetization: 0.77 μB per cell
* calculated formation energy: 47 kJ/mol of atoms

Cell and atoms, written as Quantum ESPRESSO input:
```
&SYSTEM
  ibrav = 0, nat = 3, ntyp = 3
/
ATOMIC_SPECIES
Tc 98.00 Tc.upf
Zn 65.41 Zn.upf
Nd 144.24 Nd.upf
ATOMIC_POSITIONS crystal
Tc 0.750 0.750 0.750
Zn 0.000 0.000 0.000
Nd 0.250 0.250 0.250
CELL_PARAMETERS angstrom
0.000 3.222 3.222
3.222 0.000 3.222
3.222 3.222 0.000
```